(1)
Here is a crystal of Ga3SnC relaxed with PBEsol from Alexandria via LeMat-Bulk. Energies are from meta-GGA SCAN.

For the energy relative to the elements, the calculation gives 9.35 eV per formula unit. The value obtained for the density of states at the Fermi level is 2.47 states/eV/f.u.

It has space group Pm-3m (No. 221), with a = 5.193 Å, b = 5.193 Å, c = 5.193 Å, α = 90.00°, β = 90.00° and γ = 90.00°. The distinct sites, in fractional coordinates, are Ga at (0.000, 0.000, 0.500), Sn at (0.000, 0.000, 0.000) and C at (0.500, 0.500, 0.500).

***

(2)
Here is a crystal of Li2MgHg relaxed with PBEsol from Alexandria via LeMat-Bulk. Energies are from meta-GGA SCAN.

For the energy relative to the elements, the calculation gives -1.16 eV per formula unit. The value obtained for the density of states at the Fermi level is 1.46 states/eV/f.u. The polymorph energy (0 for the lowest one) comes out at 126.6 meV/atom.

It has space group Pmm2 (No. 25), with a = 3.230 Å, b = 3.611 Å, c = 6.422 Å, α = 90.00°, β = 90.00° and γ = 90.00°. The distinct sites, in fractional coordinates, are Li at (0.000, 0.000, 0.000), Li at (0.500, 0.500, 0.244), Mg at (0.000, 0.000, 0.519) and Hg at (0.500, 0.500, 0.785).